(1)
This record from the Alexandria database describes a relaxed Tc2IrRh crystal. The functional is GGA-PBE.

a = 3.3032 Å, b = 3.3032 Å, c = 5.4658 Å
α = 90.00°, β = 90.00°, γ = 90.00°
With the nearest neighbours (Å) after each atom.
Space group P4/mmm (No. 123)
Symmetry-distinct sites (fractional):
Tc  0.0000  0.0000  0.2361 x2  2 Tc 2.58-2.88, 4 Ir 2.67, 4 Rh 2.75
Ir  0.5000  0.5000  0.0000 x1  8 Tc 2.67, 2 Rh 2.73
Rh  0.5000  0.5000  0.5000 x1  2 Ir 2.73, 8 Tc 2.75

- calculated formation energy (meV per atom) = 268

(2)
This record from the Alexandria database describes a relaxed TcIr2Rh4 crystal. The functional is GGA-PBE.

a = 4.3335 Å, b = 17.2885 Å, c = 2.7169 Å
α = 90.00°, β = 90.00°, γ = 90.00°
With the nearest neighbours (Å) after each atom.
Space group Cmmm (No. 65)
Symmetry-distinct sites (fractional):
Tc  0.0000  0.0000  0.0000 x2  2 Tc 2.72, 8 Ir 2.84, 4 Rh 2.99
Ir  0.0000  0.4286  0.5000 x4  3 Ir 2.47-2.72, 4 Rh 2.59-2.67
Rh  0.0000  0.1538  0.5000 x4  2 Ir 2.59, 8 Rh 2.70-2.80
Rh  0.0000  0.2956  0.0000 x4  2 Ir 2.67, 10 Rh 2.68-2.80

- calculated formation energy (meV per atom) = 60

(3)
This record from the Alexandria database describes a relaxed TcIr3Rh2 crystal. The functional is GGA-PBE.

a = 5.0954 Å, b = 5.0954 Å, c = 8.3076 Å
α = 90.00°, β = 90.00°, γ = 120.00°
With the nearest neighbours (Å) after each atom.
Space group P6_3/mmc (No. 194)
Symmetry-distinct sites (fractional):
Tc  0.0000  0.0000  0.0000 x2  6 Ir 2.57
Ir  0.1711  0.3423  0.2500 x6  4 Ir 2.48-2.62, 2 Tc 2.57
Rh  0.3333  0.6667  0.5790 x4  1 Rh 2.84, 9 Ir 2.92-3.09, 3 Tc 3.01

- calculated formation energy (meV per atom) = 339

Sequential total DFT energy (no corrections) output: -8.9686; -8.1536; -8.2697 eV/atom
Sequential N(E_F) output: 5.0; 9.3; 9.8 states/eV/f.u.
Sequential total moment output: 0.00; 0.00; 0.00 μB per cell